VASP calculation (PBE-GGA) on an optimized crystal structure of Sm12Ho6Tm.

Cell lengths 8.5973, 8.5973, 8.5973 Å; angles 88.87, 88.87, 88.87 degrees
Last column: nearest neighbours and their distance in Å.
Sites, in units of the cell vectors:
Sm 0.4337 0.7795 0.5381  6 Sm 3.32-3.70, 3 Ho 3.33-3.48
Sm 0.5381 0.4337 0.7795  6 Sm 3.32-3.70, 3 Ho 3.33-3.48
Sm 0.5663 0.2205 0.4619  6 Sm 3.32-3.70, 3 Ho 3.33-3.48
Sm 0.8044 0.6390 0.9838  4 Sm 3.45-3.60, 4 Ho 3.51-3.70, 1 Tm 3.57
Sm 0.7795 0.5381 0.4337  6 Sm 3.32-3.70, 3 Ho 3.33-3.48
Sm 0.9838 0.8044 0.6390  4 Sm 3.45-3.60, 4 Ho 3.51-3.70, 1 Tm 3.57
Sm 0.3610 0.0162 0.1956  4 Sm 3.45-3.60, 4 Ho 3.51-3.70, 1 Tm 3.57
Sm 0.1956 0.3610 0.0162  4 Sm 3.45-3.60, 4 Ho 3.51-3.70, 1 Tm 3.57
Sm 0.2205 0.4619 0.5663  6 Sm 3.32-3.70, 3 Ho 3.33-3.48
Sm 0.4619 0.5663 0.2205  6 Sm 3.32-3.70, 3 Ho 3.33-3.48
Sm 0.0162 0.1956 0.3610  4 Sm 3.45-3.60, 4 Ho 3.51-3.70, 1 Tm 3.57
Sm 0.6390 0.9838 0.8044  4 Sm 3.45-3.60, 4 Ho 3.51-3.70, 1 Tm 3.57
Ho 0.2595 0.0976 0.7008  7 Sm 3.33-3.70, 1 Tm 3.47, 2 Ho 3.51
Ho 0.7405 0.9024 0.2992  7 Sm 3.33-3.70, 1 Tm 3.47, 2 Ho 3.51
Ho 0.0976 0.7008 0.2595  7 Sm 3.33-3.70, 1 Tm 3.47, 2 Ho 3.51
Ho 0.2992 0.7405 0.9024  7 Sm 3.33-3.70, 1 Tm 3.47, 2 Ho 3.51
Ho 0.9024 0.2992 0.7405  7 Sm 3.33-3.70, 1 Tm 3.47, 2 Ho 3.51
Ho 0.7008 0.2595 0.0976  7 Sm 3.33-3.70, 1 Tm 3.47, 2 Ho 3.51
Tm 0.0000 0.0000 0.0000  6 Ho 3.47, 6 Sm 3.57

Calculated values
* excess energy over the best structure of this formula in the dataset: 0.0 meV/atom
* symmetry: No. 148
* formation energy: 0.14 eV/atom
* total magnetization: 0.00 μB per formula unit